The following is a GGA-PBE calculation of Co3Pd4 after structural relaxation, from the Alexandria database.

Results
SG: C2/m
Final energy, eV per atom: -5.953
ΔH_f (0 K), meV/atom: 59

a b c (Å): 4.669 4.669 6.081
angles (deg): 98.13 98.13 47.07
Fractional coordinates of all 7 atoms:
Co 0.000 0.000 0.000
Co 0.150 0.150 0.430
Co 0.850 0.850 0.570
Pd 0.291 0.291 0.851
Pd 0.430 0.430 0.291
Pd 0.570 0.570 0.709
Pd 0.709 0.709 0.149

=====

The following is a GGA-PBE calculation of CoPd after structural relaxation, from the Alexandria database.

Results
SG: Cmcm
Final energy, eV per atom: -6.094
ΔH_f (0 K), meV/atom: 55

a b c (Å): 5.113 5.113 4.066
angles (deg): 90.00 90.00 149.68
Fractional coordinates of all 4 atoms:
Co 0.062 0.938 0.750
Co 0.938 0.062 0.250
Pd 0.328 0.672 0.750
Pd 0.672 0.328 0.250

=====

One value per record, in order, for DOS at the Fermi energy: 7.81 3.89 states/eV/cell.